The following is a PBE calculation of a geometry-optimized AlCuRu structure, from Alexandria.

* crystal system: trigonal
* D(E_F): 0.894 states/eV per atom
* ΔH_f (0 K): -293 meV per atom
* volume: 39.70 Å³/f.u.
* energy above the most stable polymorph in this dataset: 67 meV/atom
* calculated total energy: -5.998 eV per atom

Unit cell a=4.250 b=4.250 c=5.075 alpha=90.00 beta=90.00 gamma=120.00
Fractional coordinates of all 6 atoms:
Ru 0.333 0.667 0.182
Ru 0.667 0.333 0.818
Al 0.333 0.667 0.683
Al 0.667 0.333 0.317
Cu 0.000 0.000 0.500
Cu 0.000 0.000 0.000